No. 1
VASP calculation (PBE) on AlReTcGe2 after structural relaxation.

Geometry as POSCAR:
```
AlReTcGe2
1.0
4.765 0.000 0.000
0.000 4.765 0.000
0.000 0.000 4.865
Al Re Tc Ge
1 1 1 2
Direct
0.000 0.000 0.000 Al
0.500 0.500 0.500 Re
0.500 0.500 0.000 Tc
0.000 0.500 0.500 Ge
0.500 0.000 0.500 Ge
```

Values from the calculation:
As for the polymorph energy (0 for the lowest one): 0 meV/atom. The space-group type is P4/mmm (123). The energy of formation comes out at 0.996 eV per atom.

---

No. 2
VASP calculation (PBE) on Sc2NO after structural relaxation.

Geometry as POSCAR:
```
Sc2NO
1.0
-2.436 2.436 4.888
2.436 -2.436 4.888
2.436 2.436 -4.888
Sc N O
4 2 2
Direct
0.121 0.625 0.996 Sc
0.375 0.371 0.496 Sc
0.629 0.125 0.004 Sc
0.875 0.879 0.504 Sc
0.000 0.000 0.000 N
0.750 0.250 0.500 N
0.250 0.750 0.500 O
0.500 0.500 0.000 O
```

Values from the calculation:
The energy relative to the elements, uncorrected comes out at -2.237 eV per atom. As for the polymorph energy (0 for the lowest one): 280 meV/atom. The space-group type is I-42d (122).

---

No. 3
VASP calculation (PBE) on HoTm3Tc after structural relaxation.

Geometry as POSCAR:
```
HoTm3Tc
1.0
5.313 0.000 0.000
0.000 5.313 0.000
0.000 0.000 5.313
Ho Tm Tc
1 3 1
Direct
0.000 0.000 0.000 Ho
0.000 0.500 0.500 Tm
0.500 0.000 0.500 Tm
0.500 0.500 0.000 Tm
0.500 0.500 0.500 Tc
```

Values from the calculation:
As for the polymorph energy (0 for the lowest one): 171 meV/atom. The space-group type is Pm-3m (221). The energy of formation comes out at 0.132 eV per atom.

---

No. 4
VASP calculation (PBE) on CaHgW2 after structural relaxation.

Geometry as POSCAR:
```
CaHgW2
1.0
3.668 0.000 0.000
0.000 3.668 0.000
0.000 0.000 6.629
Ca Hg W
1 1 2
Direct
0.000 0.000 0.000 Ca
0.000 0.000 0.500 Hg
0.500 0.500 0.324 W
0.500 0.500 0.676 W
```

Values from the calculation:
The space-group type is P4/mmm (123). The energy of formation comes out at 1.064 eV per atom.

---

No. 5
VASP calculation (PBE) on TmMgScCu after structural relaxation.

Geometry as POSCAR:
```
TmMgScCu
1.0
3.355 0.000 0.000
0.000 3.355 0.000
0.000 0.000 7.792
Tm Mg Sc Cu
1 1 1 1
Direct
0.000 0.000 0.000 Tm
0.500 0.500 0.304 Mg
0.000 0.000 0.583 Sc
0.500 0.500 0.772 Cu
```

Values from the calculation:
As for the polymorph energy (0 for the lowest one): 0 meV/atom. The space-group type is P4mm (99). The energy of formation comes out at -0.154 eV per atom.

---

No. 6
VASP calculation (PBE) on CsPm2IrO8 after structural relaxation.

Geometry as POSCAR:
```
CsPm2IrO8
1.0
4.782 0.000 0.000
-0.480 4.780 0.000
-0.805 -0.856 8.031
Cs Pm Ir O
1 2 1 8
Direct
0.000 0.000 0.000 Cs
0.445 0.447 0.716 Pm
0.555 0.553 0.284 Pm
0.000 0.000 0.500 Ir
0.089 0.718 0.331 O
0.275 0.272 0.435 O
0.281 0.912 0.672 O
0.392 0.604 0.000 O
0.608 0.396 0.000 O
0.719 0.088 0.328 O
0.725 0.728 0.565 O
0.911 0.282 0.669 O
```

Values from the calculation:
The energy relative to the elements, uncorrected comes out at -1.776 eV per atom. The space-group type is P-1 (2).